[1]
{
  "formula": "Y2TmAl3Si2Ir",
  "functional": "PBE",
  "state": "optimized geometry",
  "cell": [[4.2095, 0.0000, 0.0000], [0.0000, 5.9606, 3.4507], [0.0000, -5.9606, 3.4507]],
  "species": ["Y", "Y", "Tm", "Al", "Al", "Al", "Si", "Si", "Ir"],
  "fractional_positions": [[0.0000, 0.2085, 0.7915], [0.0000, 0.7915, 0.2085], [0.0000, 0.3757, 0.3757], [0.5000, 0.0245, 0.0245], [0.5000, 0.5573, 0.7898], [0.5000, 0.7898, 0.5573], [0.5000, 0.1260, 0.4563], [0.5000, 0.4563, 0.1260], [0.0000, 0.7869, 0.7869]],
  "e_tot_ev_per_atom": -6.240,
  "magmom_total_mub_per_atom": 0.001,
  "crystal_system": "orthorhombic"
}

=====

[2]
{
  "formula": "PmSbAsO",
  "functional": "PBE",
  "state": "optimized geometry",
  "cell": [[4.7163, 0.0000, 0.0000], [0.0000, 4.7163, 0.0000], [0.0000, 0.0000, 7.7539]],
  "species": ["Pm", "Pm", "Sb", "Sb", "As", "As", "O", "O"],
  "fractional_positions": [[0.2500, 0.7500, 0.0000], [0.7500, 0.2500, 0.0000], [0.2500, 0.2500, 0.4324], [0.7500, 0.7500, 0.5676], [0.2500, 0.2500, 0.7868], [0.7500, 0.7500, 0.2132], [0.2500, 0.7500, 0.5000], [0.7500, 0.2500, 0.5000]],
  "e_tot_ev_per_atom": -5.250,
  "magmom_total_mub_per_atom": 0.000,
  "crystal_system": "tetragonal"
}

=====

[3]
{
  "formula": "NbCdNiB",
  "functional": "PBE",
  "state": "optimized geometry",
  "cell": [[0.0000, 3.0096, 3.0096], [3.0096, 0.0000, 3.0096], [3.0096, 3.0096, 0.0000]],
  "species": ["Nb", "Cd", "Ni", "B"],
  "fractional_positions": [[0.0000, 0.0000, 0.0000], [0.5000, 0.5000, 0.5000], [0.7500, 0.7500, 0.7500], [0.2500, 0.2500, 0.2500]],
  "e_tot_ev_per_atom": -5.385,
  "magmom_total_mub_per_atom": 0.001,
  "crystal_system": "cubic"
}

=====

[4]
{
  "formula": "YHoSO2",
  "functional": "PBE",
  "state": "optimized geometry",
  "cell": [[3.7857, 0.0000, 0.0000], [-1.8928, 3.2785, 0.0000], [0.0000, 0.0000, 6.5741]],
  "species": ["Y", "Ho", "S", "O", "O"],
  "fractional_positions": [[0.0000, 0.0000, 0.0000], [0.6667, 0.3333, 0.4368], [0.3333, 0.6667, 0.7183], [0.0000, 0.0000, 0.3513], [0.6667, 0.3333, 0.0912]],
  "e_tot_ev_per_atom": -8.213,
  "magmom_total_mub_per_atom": 0.000,
  "crystal_system": "trigonal"
}

=====

[5]
{
  "formula": "Er3Mg3CdPt2",
  "functional": "PBE",
  "state": "optimized geometry",
  "cell": [[7.4738, 0.0000, 0.0000], [-3.7369, 6.4725, 0.0000], [0.0000, 0.0000, 4.0962]],
  "species": ["Er", "Er", "Er", "Mg", "Mg", "Mg", "Cd", "Pt", "Pt"],
  "fractional_positions": [[0.0000, 0.5766, 0.0000], [0.4234, 0.4234, 0.0000], [0.5766, 0.0000, 0.0000], [0.0000, 0.2581, 0.5000], [0.2581, 0.0000, 0.5000], [0.7419, 0.7419, 0.5000], [0.0000, 0.0000, 0.0000], [0.3333, 0.6667, 0.5000], [0.6667, 0.3333, 0.5000]],
  "e_tot_ev_per_atom": -4.180,
  "magmom_total_mub_per_atom": 0.001,
  "crystal_system": "hexagonal"
}

=====

[6]
{
  "formula": "UFeHg",
  "functional": "PBE",
  "state": "optimized geometry",
  "cell": [[0.0000, 3.1795, 3.1795], [3.1795, 0.0000, 3.1795], [3.1795, 3.1795, 0.0000]],
  "species": ["U", "Fe", "Hg"],
  "fractional_positions": [[0.0000, 0.0000, 0.0000], [0.7500, 0.7500, 0.7500], [0.5000, 0.5000, 0.5000]],
  "e_tot_ev_per_atom": -6.061,
  "magmom_total_mub_per_atom": 0.015,
  "crystal_system": "cubic",
  "e_form_ev_per_atom": 0.57
}

=====

[7]
{
  "formula": "GdTmZn2Ge2",
  "functional": "PBE",
  "state": "optimized geometry",
  "cell": [[4.2354, 0.0000, 0.0000], [-2.1177, 3.6679, 0.0000], [0.0000, 0.0000, 15.6230]],
  "species": ["Gd", "Gd", "Tm", "Tm", "Zn", "Zn", "Zn", "Zn", "Ge", "Ge", "Ge", "Ge"],
  "fractional_positions": [[0.0000, 0.0000, 0.0000], [0.0000, 0.0000, 0.5000], [0.0000, 0.0000, 0.2500], [0.0000, 0.0000, 0.7500], [0.3333, 0.6667, 0.1514], [0.3333, 0.6667, 0.3486], [0.6667, 0.3333, 0.6514], [0.6667, 0.3333, 0.8486], [0.3333, 0.6667, 0.6157], [0.3333, 0.6667, 0.8843], [0.6667, 0.3333, 0.1157], [0.6667, 0.3333, 0.3843]],
  "e_tot_ev_per_atom": -4.148,
  "magmom_total_mub_per_atom": 0.000,
  "crystal_system": "hexagonal"
}

=====

[8]
{
  "formula": "TmSiIr",
  "functional": "PBE",
  "state": "optimized geometry",
  "cell": [[6.8447, 0.0000, 0.0000], [-3.4224, 5.9277, 0.0000], [0.0000, 0.0000, 3.9350]],
  "species": ["Tm", "Tm", "Tm", "Si", "Si", "Si", "Ir", "Ir", "Ir"],
  "fractional_positions": [[0.0000, 0.5853, 0.0000], [0.4147, 0.4147, 0.0000], [0.5853, 0.0000, 0.0000], [0.0000, 0.2435, 0.5000], [0.2435, 0.0000, 0.5000], [0.7565, 0.7565, 0.5000], [0.0000, 0.0000, 0.0000], [0.3333, 0.6667, 0.5000], [0.6667, 0.3333, 0.5000]],
  "e_tot_ev_per_atom": -7.217,
  "magmom_total_mub_per_atom": 0.001,
  "crystal_system": "hexagonal"
}

=====

[9]
{
  "formula": "Ag4As3",
  "functional": "PBE",
  "state": "optimized geometry",
  "cell": [[2.0459, 1.1812, 9.6096], [-2.0459, 1.1812, 9.6096], [0.0000, -2.3624, 9.6096]],
  "species": ["Ag", "Ag", "Ag", "Ag", "As", "As", "As"],
  "fractional_positions": [[0.1396, 0.1396, 0.1396], [0.2843, 0.2843, 0.2843], [0.7157, 0.7157, 0.7157], [0.8604, 0.8604, 0.8604], [0.0000, 0.0000, 0.0000], [0.4293, 0.4293, 0.4293], [0.5707, 0.5707, 0.5707]],
  "e_tot_ev_per_atom": -3.323,
  "crystal_system": "trigonal"
}

=====

[10]
{
  "formula": "Pm2Br",
  "functional": "PBE",
  "state": "optimized geometry",
  "cell": [[0.0000, 4.6504, 4.6504], [4.6504, 0.0000, 4.6504], [4.6504, 4.6504, 0.0000]],
  "species": ["Pm", "Pm", "Pm", "Pm", "Br", "Br"],
  "fractional_positions": [[0.0000, 0.0000, 0.0000], [0.0000, 0.0000, 0.5000], [0.0000, 0.5000, 0.0000], [0.5000, 0.0000, 0.0000], [0.3750, 0.3750, 0.3750], [0.6250, 0.6250, 0.6250]],
  "e_tot_ev_per_atom": -3.630,
  "magmom_total_mub_per_atom": 0.283,
  "crystal_system": "cubic"
}

=====

[11]
{
  "formula": "Er4Si3Pt",
  "functional": "PBE",
  "state": "optimized geometry",
  "cell": [[5.6761, 0.0000, 0.0000], [0.0000, 3.9423, 0.0000], [-0.1114, 0.0000, 7.6634]],
  "species": ["Er", "Er", "Er", "Er", "Si", "Si", "Si", "Pt"],
  "fractional_positions": [[0.0000, 0.0000, 0.0000], [0.2393, 0.5000, 0.6585], [0.5063, 0.5000, 0.1552], [0.7499, 0.0000, 0.5229], [0.9995, 0.5000, 0.2906], [0.2534, 0.0000, 0.3707], [0.4877, 0.0000, 0.8752], [0.7582, 0.5000, 0.7928]],
  "e_tot_ev_per_atom": -5.986,
  "magmom_total_mub_per_atom": 0.001,
  "crystal_system": "monoclinic"
}

=====

[12]
{
  "formula": "YCu2Bi",
  "functional": "PBE",
  "state": "optimized geometry",
  "cell": [[0.0000, 3.4602, 3.4602], [3.4602, 0.0000, 3.4602], [3.4602, 3.4602, 0.0000]],
  "species": ["Y", "Cu", "Cu", "Bi"],
  "fractional_positions": [[0.0000, 0.0000, 0.0000], [0.2500, 0.2500, 0.2500], [0.5000, 0.5000, 0.5000], [0.7500, 0.7500, 0.7500]],
  "e_tot_ev_per_atom": -4.519,
  "magmom_total_mub_per_atom": 0.000,
  "crystal_system": "cubic"
}

=====

What is the formula in the seventh record?
GdTmZn2Ge2